[1]
Compound: NdTlIn6
Source: Alexandria
Functional: PBE
Structure: optimized geometry

Properties
Fermi-level density of states (states/eV per cell): 4.5
Formation energy from the elements (eV/atom): -0.1686
Energy (eV per atom): -3.1142

a = 6.832 Å, b = 6.832 Å, c = 4.672 Å
α = 90.00°, β = 90.00°, γ = 90.00°
Fractional coordinates of all 8 atoms:
Nd1 0.000 0.000 0.000
Tl1 0.500 0.500 0.000
In1 0.000 0.500 0.000
In2 0.251 0.251 0.500
In3 0.251 0.749 0.500
In4 0.500 0.000 0.000
In5 0.749 0.251 0.500
In6 0.749 0.749 0.500

***

[2]
Compound: NdTlIn2
Source: Alexandria
Functional: PBE
Structure: optimized geometry

Properties
Fermi-level density of states (states/eV per cell): 4.7
Formation energy from the elements (eV/atom): -0.1651
Energy (eV per atom): -3.3179

a = 4.956 Å, b = 4.956 Å, c = 16.322 Å
α = 90.00°, β = 90.00°, γ = 120.00°
Fractional coordinates of all 12 atoms:
Nd1 0.000 0.000 0.000
Nd2 0.333 0.667 0.667
Nd3 0.667 0.333 0.333
Tl1 0.000 0.000 0.500
Tl2 0.333 0.667 0.167
Tl3 0.667 0.333 0.833
In1 0.000 0.000 0.237
In2 0.000 0.000 0.763
In3 0.333 0.667 0.430
In4 0.333 0.667 0.903
In5 0.667 0.333 0.097
In6 0.667 0.333 0.570

***

[3]
Compound: Nd5TlIn
Source: Alexandria
Functional: PBE
Structure: optimized geometry

Properties
Fermi-level density of states (states/eV per cell): 15.0
Formation energy from the elements (eV/atom): -0.1360
Energy (eV per atom): -4.2708

a = 6.244 Å, b = 6.244 Å, c = 11.964 Å
α = 98.75°, β = 98.75°, γ = 90.15°
Fractional coordinates of all 14 atoms:
Nd1 0.016 0.561 0.157
Nd2 0.102 0.898 0.750
Nd3 0.236 0.518 0.465
Nd4 0.439 0.984 0.343
Nd5 0.482 0.764 0.035
Nd6 0.518 0.236 0.965
Nd7 0.561 0.016 0.657
Nd8 0.764 0.482 0.535
Nd9 0.898 0.102 0.250
Nd10 0.984 0.439 0.843
Tl1 0.000 0.000 0.000
Tl2 0.000 0.000 0.500
In1 0.466 0.534 0.750
In2 0.534 0.466 0.250

***

[4]
Compound: Nd6TlIn2
Source: Alexandria
Functional: PBE
Structure: optimized geometry

Properties
Fermi-level density of states (states/eV per cell): 23.9
Formation energy from the elements (eV/atom): -0.2198
Energy (eV per atom): -4.2698

a = 5.945 Å, b = 9.419 Å, c = 11.349 Å
α = 90.00°, β = 115.64°, γ = 90.00°
Fractional coordinates of all 18 atoms:
Nd1 0.020 0.163 0.078
Nd2 0.020 0.337 0.578
Nd3 0.375 0.515 0.309
Nd4 0.375 0.985 0.809
Nd5 0.406 0.171 0.436
Nd6 0.406 0.329 0.936
Nd7 0.594 0.671 0.064
Nd8 0.594 0.829 0.564
Nd9 0.625 0.015 0.191
Nd10 0.625 0.485 0.691
Nd11 0.980 0.663 0.422
Nd12 0.980 0.837 0.922
Tl1 0.000 0.000 0.500
Tl2 0.000 0.500 0.000
In1 0.184 0.646 0.746
In2 0.184 0.854 0.246
In3 0.816 0.146 0.754
In4 0.816 0.354 0.254

***

[5]
Compound: Nd2TlIn
Source: Alexandria
Functional: PBE
Structure: optimized geometry

Properties
Fermi-level density of states (states/eV per cell): 8.2
Formation energy from the elements (eV/atom): -0.4403
Energy (eV per atom): -4.1004

a = 7.783 Å, b = 7.783 Å, c = 7.783 Å
α = 90.00°, β = 90.00°, γ = 90.00°
Fractional coordinates of all 16 atoms:
Nd1 0.250 0.250 0.250
Nd2 0.250 0.250 0.750
Nd3 0.250 0.750 0.250
Nd4 0.250 0.750 0.750
Nd5 0.750 0.250 0.250
Nd6 0.750 0.250 0.750
Nd7 0.750 0.750 0.250
Nd8 0.750 0.750 0.750
Tl1 0.000 0.000 0.000
Tl2 0.000 0.500 0.500
Tl3 0.500 0.000 0.500
Tl4 0.500 0.500 0.000
In1 0.000 0.000 0.500
In2 0.000 0.500 0.000
In3 0.500 0.000 0.000
In4 0.500 0.500 0.500

***

[6]
Compound: Nd2Tl3In3
Source: Alexandria
Functional: PBE
Structure: optimized geometry

Properties
Fermi-level density of states (states/eV per cell): 4.3
Formation energy from the elements (eV/atom): -0.3849
Energy (eV per atom): -3.4911

a = 4.766 Å, b = 4.771 Å, c = 9.606 Å
α = 90.00°, β = 90.00°, γ = 90.00°
Fractional coordinates of all 8 atoms:
Nd1 0.000 0.000 0.248
Nd2 0.000 0.000 0.752
Tl1 0.500 0.000 0.500
Tl2 0.500 0.500 0.247
Tl3 0.500 0.500 0.753
In1 0.000 0.500 0.000
In2 0.000 0.500 0.500
In3 0.500 0.000 0.000

***

[7]
Compound: Nd4Tl3In
Source: Alexandria
Functional: PBE
Structure: optimized geometry

Properties
Fermi-level density of states (states/eV per cell): 7.0
Formation energy from the elements (eV/atom): -0.4190
Energy (eV per atom): -4.0326

a = 3.897 Å, b = 3.897 Å, c = 15.629 Å
α = 90.00°, β = 90.00°, γ = 90.00°
Fractional coordinates of all 8 atoms:
Nd1 0.000 0.000 0.123
Nd2 0.000 0.000 0.374
Nd3 0.000 0.000 0.626
Nd4 0.000 0.000 0.877
Tl1 0.500 0.500 0.249
Tl2 0.500 0.500 0.500
Tl3 0.500 0.500 0.751
In1 0.500 0.500 0.000

***

[8]
Compound: Nd6TlIn6
Source: Alexandria
Functional: PBE
Structure: optimized geometry

Properties
Fermi-level density of states (states/eV per cell): 16.3
Formation energy from the elements (eV/atom): -0.3334
Energy (eV per atom): -3.9798

a = 6.494 Å, b = 6.494 Å, c = 10.908 Å
α = 90.00°, β = 90.00°, γ = 120.00°
Fractional coordinates of all 13 atoms:
Nd1 0.000 0.000 0.194
Nd2 0.000 0.000 0.806
Nd3 0.333 0.667 0.000
Nd4 0.333 0.667 0.500
Nd5 0.667 0.333 0.000
Nd6 0.667 0.333 0.500
Tl1 0.000 0.000 0.500
In1 0.000 0.500 0.249
In2 0.000 0.500 0.751
In3 0.500 0.000 0.249
In4 0.500 0.000 0.751
In5 0.500 0.500 0.249
In6 0.500 0.500 0.751

***

[9]
Compound: Nd5Tl2In2
Source: Alexandria
Functional: PBE
Structure: optimized geometry

Properties
Fermi-level density of states (states/eV per cell): 21.9
Formation energy from the elements (eV/atom): -0.2876
Energy (eV per atom): -4.0708

a = 10.772 Å, b = 10.772 Å, c = 10.772 Å
α = 64.82°, β = 127.64°, γ = 144.57°
Fractional coordinates of all 18 atoms:
Nd1 0.218 0.082 0.300
Nd2 0.218 0.418 0.636
Nd3 0.270 0.521 0.249
Nd4 0.272 0.021 0.751
Nd5 0.629 0.111 0.208
Nd6 0.629 0.920 0.018
Nd7 0.782 0.582 0.364
Nd8 0.782 0.918 0.700
Nd9 0.903 0.420 0.792
Nd10 0.903 0.611 0.982
Tl1 0.599 0.508 0.591
Tl2 0.689 0.189 0.500
Tl3 0.689 0.689 0.000
Tl4 0.917 0.008 0.409
In1 0.198 0.342 0.000
In2 0.198 0.699 0.357
In3 0.342 0.199 0.000
In4 0.342 0.842 0.643

***

[10]
Compound: Nd8Tl3In4
Source: Alexandria
Functional: PBE
Structure: optimized geometry

Properties
Fermi-level density of states (states/eV per cell): 13.2
Formation energy from the elements (eV/atom): -0.1366
Energy (eV per atom): -3.8830

a = 8.979 Å, b = 8.979 Å, c = 8.964 Å
α = 119.92°, β = 119.92°, γ = 90.02°
Fractional coordinates of all 15 atoms:
Nd1 0.221 0.779 0.000
Nd2 0.222 0.222 0.001
Nd3 0.222 0.222 0.442
Nd4 0.251 0.749 0.500
Nd5 0.749 0.251 0.500
Nd6 0.778 0.778 0.558
Nd7 0.778 0.778 0.999
Nd8 0.779 0.221 0.000
Tl1 0.000 0.000 0.500
Tl2 0.000 0.500 0.500
Tl3 0.500 0.000 0.500
In1 0.000 0.500 0.000
In2 0.500 0.000 0.000
In3 0.500 0.500 0.000
In4 0.500 0.500 0.500

***

[11]
Compound: Nd6TlIn2
Source: Alexandria
Functional: PBE
Structure: optimized geometry

Properties
Fermi-level density of states (states/eV per cell): 12.6
Formation energy from the elements (eV/atom): -0.2809
Energy (eV per atom): -4.3309

a = 8.595 Å, b = 8.595 Å, c = 4.537 Å
α = 90.00°, β = 90.00°, γ = 120.00°
Fractional coordinates of all 9 atoms:
Nd1 0.000 0.401 0.000
Nd2 0.000 0.728 0.500
Nd3 0.272 0.272 0.500
Nd4 0.401 0.000 0.000
Nd5 0.599 0.599 0.000
Nd6 0.728 0.000 0.500
Tl1 0.000 0.000 0.000
In1 0.333 0.667 0.500
In2 0.667 0.333 0.500

***

[12]
Compound: Nd2TlIn
Source: Alexandria
Functional: PBE
Structure: optimized geometry

Properties
Fermi-level density of states (states/eV per cell): 6.8
Formation energy from the elements (eV/atom): -0.2917
Energy (eV per atom): -3.9518

a = 3.881 Å, b = 3.881 Å, c = 29.392 Å
α = 90.00°, β = 90.00°, γ = 120.00°
Fractional coordinates of all 12 atoms:
Nd1 0.000 0.000 0.249
Nd2 0.000 0.000 0.751
Nd3 0.333 0.667 0.417
Nd4 0.333 0.667 0.916
Nd5 0.667 0.333 0.084
Nd6 0.667 0.333 0.583
Tl1 0.000 0.000 0.000
Tl2 0.333 0.667 0.667
Tl3 0.667 0.333 0.333
In1 0.000 0.000 0.500
In2 0.333 0.667 0.167
In3 0.667 0.333 0.833

***

[13]
Compound: Nd5Tl3In
Source: Alexandria
Functional: PBE
Structure: optimized geometry

Properties
Fermi-level density of states (states/eV per cell): 17.4
Formation energy from the elements (eV/atom): -0.3703
Energy (eV per atom): -4.1122

a = 9.680 Å, b = 9.680 Å, c = 6.775 Å
α = 90.00°, β = 90.00°, γ = 120.00°
Fractional coordinates of all 18 atoms:
Nd1 0.000 0.289 0.250
Nd2 0.000 0.711 0.750
Nd3 0.289 0.000 0.250
Nd4 0.289 0.289 0.750
Nd5 0.333 0.667 0.000
Nd6 0.333 0.667 0.500
Nd7 0.667 0.333 0.000
Nd8 0.667 0.333 0.500
Nd9 0.711 0.000 0.750
Nd10 0.711 0.711 0.250
Tl1 0.000 0.370 0.750
Tl2 0.000 0.630 0.250
Tl3 0.370 0.000 0.750
Tl4 0.370 0.370 0.250
Tl5 0.630 0.000 0.250
Tl6 0.630 0.630 0.750
In1 0.000 0.000 0.000
In2 0.000 0.000 0.500

***

[14]
Compound: Nd5Tl2In2
Source: Alexandria
Functional: PBE
Structure: optimized geometry

Properties
Fermi-level density of states (states/eV per cell): 17.2
Formation energy from the elements (eV/atom): -0.3651
Energy (eV per atom): -4.1483

a = 9.342 Å, b = 9.342 Å, c = 8.132 Å
α = 90.00°, β = 90.00°, γ = 54.16°
Fractional coordinates of all 18 atoms:
Nd1 0.000 0.000 0.000
Nd2 0.047 0.674 0.672
Nd3 0.174 0.547 0.172
Nd4 0.326 0.953 0.672
Nd5 0.453 0.826 0.172
Nd6 0.500 0.500 0.500
Nd7 0.547 0.174 0.828
Nd8 0.674 0.047 0.328
Nd9 0.826 0.453 0.828
Nd10 0.953 0.326 0.328
Tl1 0.212 0.212 0.000
Tl2 0.288 0.288 0.500
Tl3 0.712 0.712 0.500
Tl4 0.788 0.788 0.000
In1 0.124 0.876 0.379
In2 0.376 0.624 0.879
In3 0.624 0.376 0.121
In4 0.876 0.124 0.621

***

[15]
Compound: Nd2Tl3In
Source: Alexandria
Functional: PBE
Structure: optimized geometry

Properties
Fermi-level density of states (states/eV per cell): 5.3
Formation energy from the elements (eV/atom): -0.2810
Energy (eV per atom): -3.5098

a = 3.672 Å, b = 5.048 Å, c = 9.252 Å
α = 90.00°, β = 90.00°, γ = 90.00°
Fractional coordinates of all 6 atoms:
Nd1 0.000 0.000 0.000
Nd2 0.000 0.500 0.494
Tl1 0.500 0.000 0.657
Tl2 0.500 0.500 0.165
Tl3 0.500 0.500 0.833
In1 0.500 0.000 0.331

***

[16]
Compound: NdTlIn2
Source: Alexandria
Functional: PBE
Structure: optimized geometry

Properties
Fermi-level density of states (states/eV per cell): 2.0
Formation energy from the elements (eV/atom): -0.4104
Energy (eV per atom): -3.5632

a = 4.743 Å, b = 4.743 Å, c = 4.794 Å
α = 90.00°, β = 90.00°, γ = 90.00°
Fractional coordinates of all 4 atoms:
Nd1 0.000 0.000 0.000
Tl1 0.500 0.500 0.000
In1 0.000 0.500 0.500
In2 0.500 0.000 0.500

***

[17]
Compound: Nd3TlIn3
Source: Alexandria
Functional: PBE
Structure: optimized geometry

Properties
Fermi-level density of states (states/eV per cell): 13.3
Formation energy from the elements (eV/atom): -0.4163
Energy (eV per atom): -3.9713

a = 6.403 Å, b = 6.403 Å, c = 15.532 Å
α = 107.39°, β = 107.39°, γ = 43.85°
Fractional coordinates of all 14 atoms:
Nd1 0.016 0.016 0.375
Nd2 0.111 0.111 0.930
Nd3 0.227 0.227 0.222
Nd4 0.773 0.773 0.778
Nd5 0.889 0.889 0.070
Nd6 0.984 0.984 0.625
Tl1 0.272 0.272 0.624
Tl2 0.728 0.728 0.376
In1 0.367 0.367 0.459
In2 0.388 0.388 0.923
In3 0.497 0.497 0.220
In4 0.503 0.503 0.780
In5 0.612 0.612 0.077
In6 0.633 0.633 0.541

***

[18]
Compound: NdTl2In
Source: Alexandria
Functional: PBE
Structure: optimized geometry

Properties
Fermi-level density of states (states/eV per cell): 2.1
Formation energy from the elements (eV/atom): -0.3592
Energy (eV per atom): -3.4189

a = 4.809 Å, b = 4.809 Å, c = 4.782 Å
α = 90.00°, β = 90.00°, γ = 90.00°
Fractional coordinates of all 4 atoms:
Nd1 0.000 0.000 0.000
Tl1 0.000 0.500 0.500
Tl2 0.500 0.000 0.500
In1 0.500 0.500 0.000

***

[19]
Compound: Nd3Tl4In
Source: Alexandria
Functional: PBE
Structure: optimized geometry

Properties
Fermi-level density of states (states/eV per cell): 14.0
Formation energy from the elements (eV/atom): -0.2246
Energy (eV per atom): -3.5380

a = 3.675 Å, b = 9.829 Å, c = 13.555 Å
α = 90.00°, β = 90.00°, γ = 90.00°
Fractional coordinates of all 16 atoms:
Nd1 0.000 0.000 0.000
Nd2 0.000 0.500 0.208
Nd3 0.000 0.500 0.792
Nd4 0.500 0.000 0.292
Nd5 0.500 0.000 0.708
Nd6 0.500 0.500 0.500
Tl1 0.000 0.267 0.373
Tl2 0.000 0.267 0.627
Tl3 0.000 0.733 0.373
Tl4 0.000 0.733 0.627
Tl5 0.500 0.233 0.127
Tl6 0.500 0.233 0.873
Tl7 0.500 0.767 0.127
Tl8 0.500 0.767 0.873
In1 0.000 0.000 0.500
In2 0.500 0.500 0.000

***

[20]
Compound: Nd3TlIn2
Source: Alexandria
Functional: PBE
Structure: optimized geometry

Properties
Fermi-level density of states (states/eV per cell): 4.3
Formation energy from the elements (eV/atom): -0.4573
Energy (eV per atom): -4.1484

a = 3.710 Å, b = 3.710 Å, c = 12.782 Å
α = 90.00°, β = 90.00°, γ = 90.00°
Fractional coordinates of all 6 atoms:
Nd1 0.000 0.000 0.000
Nd2 0.000 0.000 0.332
Nd3 0.000 0.000 0.668
Tl1 0.500 0.500 0.500
In1 0.500 0.500 0.167
In2 0.500 0.500 0.833

***

[21]
Compound: Nd5TlIn2
Source: Alexandria
Functional: PBE
Structure: optimized geometry

Properties
Fermi-level density of states (states/eV per cell): 19.2
Formation energy from the elements (eV/atom): -0.3290
Energy (eV per atom): -4.2893

a = 9.427 Å, b = 9.427 Å, c = 9.427 Å
α = 127.62°, β = 127.62°, γ = 77.24°
Fractional coordinates of all 16 atoms:
Nd1 0.000 0.000 0.000
Nd2 0.016 0.516 0.835
Nd3 0.180 0.016 0.500
Nd4 0.320 0.820 0.835
Nd5 0.484 0.320 0.500
Nd6 0.500 0.500 0.000
Nd7 0.516 0.680 0.500
Nd8 0.680 0.180 0.165
Nd9 0.820 0.984 0.500
Nd10 0.984 0.484 0.165
Tl1 0.250 0.250 0.000
Tl2 0.750 0.750 0.000
In1 0.127 0.373 0.500
In2 0.373 0.873 0.247
In3 0.627 0.127 0.753
In4 0.873 0.627 0.500

***

[22]
Compound: Nd3Tl3In
Source: Alexandria
Functional: PBE
Structure: optimized geometry

Properties
Fermi-level density of states (states/eV per cell): 13.6
Formation energy from the elements (eV/atom): -0.3588
Energy (eV per atom): -3.8075

a = 6.438 Å, b = 6.438 Å, c = 15.592 Å
α = 106.61°, β = 106.61°, γ = 43.45°
Fractional coordinates of all 14 atoms:
Nd1 0.020 0.020 0.378
Nd2 0.104 0.104 0.925
Nd3 0.229 0.229 0.220
Nd4 0.771 0.771 0.780
Nd5 0.896 0.896 0.075
Nd6 0.980 0.980 0.622
Tl1 0.359 0.359 0.464
Tl2 0.381 0.381 0.925
Tl3 0.498 0.498 0.225
Tl4 0.502 0.502 0.775
Tl5 0.619 0.619 0.075
Tl6 0.641 0.641 0.536
In1 0.267 0.267 0.631
In2 0.733 0.733 0.369